*i*
Here is a geometry-optimized Tb2CdHg4 structure from the Alexandria database. Energies are from PBE.

## Properties
The density of states at the Fermi level is 5.47 states/eV/f.u.

a b c (Å): 5.370 5.370 8.546
angles (deg): 108.31 108.31 90.00
Fractional positions:
Tb 0.611 0.611 0.223
Tb 0.389 0.389 0.777
Cd 0.000 0.000 0.000
Hg 0.807 0.807 0.615
Hg 0.193 0.193 0.385
Hg 0.000 0.500 0.000
Hg 0.500 0.000 0.000

=====

*ii*
Here is a geometry-optimized Tb2CdHg4 structure from the Alexandria database. Energies are from PBE.

## Properties
The density of states at the Fermi level is 4.03 states/eV/f.u.

a b c (Å): 5.030 5.030 8.821
angles (deg): 73.43 73.43 60.00
Fractional positions:
Tb 0.747 0.747 0.758
Tb 0.253 0.253 0.242
Hg 0.870 0.870 0.390
Hg 0.130 0.130 0.610
Hg 0.620 0.620 0.141
Hg 0.380 0.380 0.859
Cd 0.000 0.000 0.000

=====

Ranking the structures above by energy, *ii* is first and the second is 354 meV/atom behind.